## FeMo3F (GGA+U)

Data for an optimized crystal structure of FeMo3F.

Calculated values
The calculation puts the calculated total energy at -20.79 eV/cell. The magnetic moment comes out at 10.37 μB per cell. The value obtained for the energy relative to the lowest polymorph listed for this composition is 0 meV per atom.

Structure (CIF):
```
data_FeMo3F
_chemical_formula_sum 'Fe1 Mo3 F1'
_symmetry_space_group_name_H-M 'P m -3 m'
_symmetry_Int_Tables_number 221
_symmetry_space_group_name_Hall '-P 4 2 3'
_cell_length_a 5.0865
_cell_length_b 5.0865
_cell_length_c 5.0865
_cell_angle_alpha 90.00
_cell_angle_beta 90.00
_cell_angle_gamma 90.00
loop_
_atom_site_label
_atom_site_type_symbol
_atom_site_fract_x
_atom_site_fract_y
_atom_site_fract_z
Fe1 Fe 0.0000 0.0000 0.0000
Mo1 Mo 0.0000 0.0000 0.5000
F1 F 0.5000 0.5000 0.5000
```